The following is a DFT calculation (PBE) of a relaxed CdW2N crystal.

a b c (Å): 5.163 5.163 6.749
angles (deg): 67.51 67.51 90.00
Element x y z (fractional)
1 Cd 0.000 0.000 0.000
2 W 0.465 0.125 0.250
3 W 0.375 0.535 0.750
4 N 0.250 0.750 0.500
5 Cd 0.750 0.250 0.500
6 N 0.500 0.500 0.000
7 W 0.875 0.715 0.750
8 W 0.285 0.625 0.250

Output
E_form (uncorrected) (eV per atom): 0.93
Uncorrected energy (eV/atom): -7.860
Symmetry: I-42d
Polymorph energy (0 for the lowest one) (meV/atom): 0
DOS(E_F) (states/eV per atom): 0.991

The following is a DFT calculation (PBE) of a relaxed Cd2WN crystal.

a b c (Å): 8.975 8.975 6.642
angles (deg): 47.49 47.49 90.00
Site moments in Bohr magnetons follow the coordinates.
Element x y z (fractional)
1 Cd 0.875 0.757 0.750  -0.01
2 W 0.000 0.000 0.000  0.94
3 Cd 0.243 0.625 0.250  -0.01
4 N 0.500 0.500 0.000  -0.07
5 N 0.250 0.750 0.500  -0.07
6 Cd 0.375 0.493 0.750  0.00
7 W 0.750 0.250 0.500  0.93
8 Cd 0.507 0.125 0.250  0.00

Output
E_form (uncorrected) (eV per atom): 0.76
Uncorrected energy (eV/atom): -5.014
Symmetry: I-42d
DOS(E_F) (states/eV per atom): 0.462

The following is a DFT calculation (PBE) of a relaxed CdW2N crystal.

a b c (Å): 4.353 4.353 4.353
angles (deg): 60.00 60.00 60.00
Element x y z (fractional)
1 N 0.000 0.000 0.000
2 W 0.250 0.250 0.250
3 W 0.750 0.750 0.750
4 Cd 0.500 0.500 0.500

Output
E_form (uncorrected) (eV per atom): 1.73
Uncorrected energy (eV/atom): -7.061
Symmetry: Fm-3m
Polymorph energy (0 for the lowest one) (meV/atom): 800
DOS(E_F) (states/eV per atom): 0.966

The following is a DFT calculation (PBE) of a relaxed CdW3N crystal.

a b c (Å): 4.845 4.845 4.845
angles (deg): 90.00 90.00 90.00
Element x y z (fractional)
1 W 0.500 0.000 0.000
2 N 0.500 0.500 0.500
3 Cd 0.000 0.000 0.000
4 W 0.000 0.500 0.000
5 W 0.000 0.000 0.500

Output
E_form (uncorrected) (eV per atom): 4.28
Uncorrected energy (eV/atom): -5.340
Symmetry: Pm-3m
Polymorph energy (0 for the lowest one) (meV/atom): 3968
DOS(E_F) (states/eV per atom): 1.359

The following is a DFT calculation (PBE) of a relaxed CdW3N crystal.

a b c (Å): 4.189 4.189 4.189
angles (deg): 90.00 90.00 90.00
Element x y z (fractional)
1 W 0.000 0.500 0.000
2 N 0.000 0.000 0.000
3 Cd 0.500 0.500 0.500
4 W 0.500 0.000 0.000
5 W 0.000 0.000 0.500

Output
E_form (uncorrected) (eV per atom): 0.31
Uncorrected energy (eV/atom): -9.307
Symmetry: Pm-3m
Polymorph energy (0 for the lowest one) (meV/atom): 0
DOS(E_F) (states/eV per atom): 0.670

The following is a DFT calculation (PBE) of a relaxed CdWN3 crystal.

a b c (Å): 3.972 3.972 3.972
angles (deg): 90.00 90.00 90.00
Element x y z (fractional)
1 N 0.000 0.500 0.000
2 Cd 0.000 0.000 0.000
3 W 0.500 0.500 0.500
4 N 0.500 0.000 0.000
5 N 0.000 0.000 0.500

Output
E_form (uncorrected) (eV per atom): 2.79
Uncorrected energy (eV/atom): -4.974
Symmetry: Pm-3m
DOS(E_F) (states/eV per atom): 1.031